1.
PBE-GGA PuHfAlZn, optimized geometry; calculated density = 10.50 g/cm³; energy of formation from the pure elements = -0.097 eV/atom; space-group type = F-43m, No. 216; energy = -29.689 eV for the cell shown; DOS(E_F) = 1.85 states/eV/atom
1.0
4.865 0.000 0.000
2.433 4.213 0.000
2.433 1.404 3.972
Al Pu Hf Zn
1 1 1 1
Direct
0.250 0.250 0.250 Al
0.000 0.000 0.000 Pu
0.500 0.500 0.500 Hf
0.750 0.750 0.750 Zn

***

2.
PBE-GGA Nd2ScPa, optimized geometry; calculated density = 8.03 g/cm³; energy of formation from the pure elements = 0.309 eV/atom; space-group type = R-3m, No. 166; energy = -24.128 eV for the cell shown; DOS(E_F) = 1.57 states/eV/atom
1.0
-0.271 1.725 -2.831
-1.980 -1.100 -2.435
-10.059 6.503 2.970
Nd Pa Sc
2 1 1
Direct
0.912 0.912 0.265 Nd
0.088 0.088 0.735 Nd
0.000 0.000 0.000 Pa
0.500 0.500 0.500 Sc

***

3.
PBE-GGA VCrTc, optimized geometry; calculated density = 7.73 g/cm³; energy of formation from the pure elements = 0.684 eV/atom; space-group type = I4mm, No. 107; energy = -27.057 eV for the cell shown; DOS(E_F) = 1.35 states/eV/atom
1.0
2.462 0.000 0.000
0.000 2.462 0.000
-1.231 -1.231 7.123
Cr Tc V
1 1 1
Direct
0.775 0.775 0.549 Cr
0.949 0.949 0.897 Tc
0.127 0.127 0.253 V

***

4.
PBE-GGA Er7Zn2Cu2, optimized geometry; calculated density = 8.32 g/cm³; energy of formation from the pure elements = -0.003 eV/atom; space-group type = Cmmm, No. 65; energy = -42.717 eV for the cell shown; DOS(E_F) = 0.95 states/eV/atom
1.0
6.512 -0.003 -0.979
0.003 7.024 0.003
-1.383 -0.002 6.439
Er Cu Zn
7 2 2
Direct
0.500 0.255 0.500 Er
0.500 0.733 0.000 Er
0.000 0.267 0.500 Er
0.500 0.267 0.000 Er
0.500 0.745 0.500 Er
0.000 0.733 0.500 Er
0.000 0.000 0.000 Er
0.700 0.000 0.300 Cu
0.300 0.000 0.700 Cu
0.833 0.500 0.833 Zn
0.167 0.500 0.167 Zn

***

5.
PBE-GGA GaBi2Au, optimized geometry; calculated density = 11.25 g/cm³; energy of formation from the pure elements = 0.095 eV/atom; space-group type = P4/mmm, No. 123; energy = -13.687 eV for the cell shown; DOS(E_F) = 0.60 states/eV/atom
1.0
-2.478 2.320 2.699
2.840 -1.264 3.694
2.762 3.878 -0.797
Bi Ga Au
2 1 1
Direct
0.000 0.000 0.500 Bi
0.000 0.500 0.000 Bi
0.500 0.500 0.500 Ga
0.500 0.000 0.000 Au

***

6.
PBE-GGA PrTm2TaN4, optimized geometry; calculated density = 9.76 g/cm³; E_form (uncorrected) = -1.333 eV per atom; space-group type = Cmcm, No. 63; energy = -139.078 eV for the cell shown; DOS(E_F) = 0.26 states/eV/atom
1.0
-2.805 -1.618 1.024
2.126 -3.210 -4.877
6.604 -6.797 7.351
N Tm Ta Pr
8 4 2 2
Direct
0.000 0.000 0.500 N
0.000 0.000 0.000 N
0.258 0.516 0.118 N
0.563 0.125 0.250 N
0.437 0.875 0.750 N
0.742 0.484 0.618 N
0.742 0.484 0.882 N
0.258 0.516 0.382 N
0.629 0.258 0.034 Tm
0.629 0.258 0.466 Tm
0.371 0.742 0.534 Tm
0.371 0.742 0.966 Tm
0.836 0.673 0.750 Ta
0.164 0.327 0.250 Ta
0.903 0.806 0.250 Pr
0.097 0.194 0.750 Pr

***

7.
PBE-GGA Pa3In, optimized geometry; calculated density = 13.51 g/cm³; energy of formation from the pure elements = -0.028 eV/atom; space-group type = Pmm2, No. 25; energy = -31.339 eV for the cell shown; DOS(E_F) = 1.79 states/eV/atom
1.0
-2.303 -2.010 0.975
-0.342 -2.052 -5.041
3.936 -3.875 1.310
Pa In
3 1
Direct
0.000 0.500 0.363 Pa
0.500 0.000 0.463 Pa
0.500 0.500 0.866 Pa
0.000 0.000 0.975 In

***

8.
PBE-GGA Cu5As2, optimized geometry; calculated density = 8.01 g/cm³; energy of formation from the pure elements = 0.043 eV/atom; space-group type = Ibam, No. 72; energy = -58.954 eV for the cell shown; DOS(E_F) = 0.32 states/eV/atom
1.0
7.109 0.003 0.012
2.398 6.693 -0.012
-4.561 -3.621 4.078
Cu As
10 4
Direct
0.698 0.893 0.805 Cu
0.500 0.250 0.750 Cu
0.729 0.979 0.250 Cu
0.729 0.479 0.750 Cu
0.302 0.107 0.195 Cu
0.500 0.750 0.250 Cu
0.271 0.021 0.750 Cu
0.912 0.607 0.305 Cu
0.271 0.521 0.250 Cu
0.088 0.393 0.695 Cu
0.896 0.116 0.781 As
0.665 0.384 0.281 As
0.104 0.884 0.219 As
0.335 0.616 0.719 As